Compound: ZrAg2Hg
Source: Alexandria
Functional: PBEsol
Structure: relaxed

Lattice parameters (Å, degrees): 2.997 2.997 29.275 90.00 90.00 120.00
Atoms (fractional coordinates):
Zr: 0.000 0.000 0.000
Zr: 0.333 0.667 0.667
Zr: 0.667 0.333 0.333
Ag: 0.000 0.000 0.250
Ag: 0.000 0.000 0.750
Ag: 0.333 0.667 0.417
Ag: 0.333 0.667 0.916
Ag: 0.667 0.333 0.084
Ag: 0.667 0.333 0.583
Hg: 0.000 0.000 0.500
Hg: 0.333 0.667 0.167
Hg: 0.667 0.333 0.833

Output
* E_tot: -4.06 eV/atom
* space-group type: No. 166
* ρ: 11.10 Mg/m³


Compound: CoAg2W
Source: Alexandria
Functional: PBEsol
Structure: relaxed

Lattice parameters (Å, degrees): 2.726 4.504 4.838 90.00 90.00 90.00
Atoms (fractional coordinates):
Co: 0.000 0.000 0.000
Ag: 0.000 0.500 0.500
Ag: 0.500 0.000 0.500
W: 0.500 0.500 0.000

Output
* distance to the lowest polymorph of the same formula: 84.9 meV/atom
* space-group type: No. 47
* ρ: 12.81 Mg/m³


Compound: ScSb2
Source: Alexandria
Functional: PBEsol
Structure: relaxed

Lattice parameters (Å, degrees): 6.750 6.750 6.298 90.00 90.00 90.00
Atoms (fractional coordinates):
Sc: 0.000 0.000 0.250
Sc: 0.000 0.000 0.750
Sc: 0.500 0.500 0.250
Sc: 0.500 0.500 0.750
Sb: 0.149 0.351 0.000
Sb: 0.149 0.649 0.500
Sb: 0.351 0.149 0.500
Sb: 0.351 0.851 0.000
Sb: 0.649 0.149 0.000
Sb: 0.649 0.851 0.500
Sb: 0.851 0.351 0.500
Sb: 0.851 0.649 0.000

Output
* space-group type: No. 140
* ρ: 6.68 Mg/m³
* E_form (uncorrected): -0.59 eV/atom


| no. | total magnetization (μB/f.u.) |
| --- | --- |
| 1 | 0.0 |
| 2 | 0.9 |
| 3 | 0.0 |